Model w:
VASP calculation (GGA-PBE) on a relaxed TlPb2Cl crystal.

```
4
Lattice="0.000 3.851 3.851 3.851 0.000 3.851 3.851 3.851 0.000" Properties=species:S:1:pos:R:3 pbc="T T T"
Pb 1.925 1.925 1.925
Pb 5.776 5.776 5.776
Tl 3.851 3.851 3.851
Cl 0.000 0.000 0.000
```

Results
total moment	0.0	μB/f.u.
crystal system	cubic
volume	28.6	Å³/atom

---

Model x:
VASP calculation (GGA-PBE) on a relaxed TlPb2Cl crystal.

```
4
Lattice="5.716 0.019 0.000 -0.036 5.716 0.000 0.000 0.000 3.565" Properties=species:S:1:pos:R:3 pbc="T T T"
Cl -0.018 2.858 1.782
Pb 0.000 0.000 0.000
Pb 2.840 2.867 0.000
Tl 2.858 0.009 1.782
```

Results
total moment	0.0	μB/f.u.
crystal system	orthorhombic
volume	29.1	Å³/atom

---

Model y:
VASP calculation (GGA-PBE) on a relaxed TlPb2Cl crystal.

```
4
Lattice="3.439 0.000 0.000 0.000 4.997 0.000 0.000 0.000 6.808" Properties=species:S:1:pos:R:3 pbc="T T T"
Cl 1.719 2.499 5.106
Pb 0.000 0.000 6.737
Pb 0.000 0.000 3.476
Tl 1.719 2.499 1.702
```

Results
total moment	0.0	μB/f.u.
crystal system	orthorhombic
volume	29.2	Å³/atom

---

Model z:
VASP calculation (GGA-PBE) on a relaxed TlPb2Cl crystal.

```
4
Lattice="-0.900 -3.942 5.457 5.940 3.074 -1.182 0.500 2.202 2.842" Properties=species:S:1:pos:R:3 pbc="T T T"
Cl 3.220 2.638 0.830
Pb 0.000 0.000 0.000
Pb 2.520 -0.434 2.138
Tl -0.200 -0.870 4.150
```

Results
total moment	0.0	μB/f.u.
crystal system	monoclinic
volume	30.4	Å³/atom

---

Most stable one: model z, least stable one: model w.

---

Model w:
VASP calculation (GGA-PBE) on a relaxed TlPb2Cl crystal.

```
4
Lattice="-1.143 -2.166 5.238 1.824 -3.060 -0.867 4.890 2.137 1.950" Properties=species:S:1:pos:R:3 pbc="T T T"
Cl 4.464 -1.775 3.431
Pb 1.787 -2.982 -0.843
Pb 3.394 -0.539 0.517
Tl 1.107 -1.314 2.890
```

Results
total moment	0.0	μB/f.u.
crystal system	monoclinic
volume	30.1	Å³/atom

---

Model x:
VASP calculation (GGA-PBE) on a relaxed TlPb2Cl crystal.

```
4
Lattice="-0.097 5.846 3.684 -4.813 4.883 -0.865 1.764 -6.480 1.631" Properties=species:S:1:pos:R:3 pbc="T T T"
Cl -2.758 1.897 1.091
Pb -4.884 10.672 2.804
Pb -0.428 2.439 3.381
Tl -2.442 5.336 1.402
```

Results
total moment	0.0	μB/f.u.
crystal system	orthorhombic
volume	30.0	Å³/atom

---

Model y:
VASP calculation (GGA-PBE) on a relaxed TlPb2Cl crystal.

```
4
Lattice="6.812 0.059 0.000 3.691 5.726 0.000 -5.252 -2.892 3.235" Properties=species:S:1:pos:R:3 pbc="T T T"
Cl 3.406 0.029 1.618
Pb 0.000 0.000 0.000
Pb 5.252 2.892 0.000
Tl 1.846 2.863 1.618
```

Results
total moment	0.0	μB/f.u.
crystal system	tetragonal
volume	31.4	Å³/atom

---

Most stable one: model x, least stable one: model y.

---

Model w:
VASP calculation (GGA-PBE) on a relaxed Tl2Pb3Cl8 crystal.

```
13
Lattice="7.433 0.000 0.161 0.000 8.724 0.000 -2.813 -4.362 7.325" Properties=species:S:1:pos:R:3 pbc="T T T"
Tl 1.001 0.000 4.071
Tl 3.619 4.362 3.416
Pb 3.717 0.000 0.080
Pb 0.000 2.274 0.000
Pb 0.000 6.449 0.000
Cl 6.373 4.362 1.791
Cl -1.753 0.000 5.695
Cl 6.157 0.000 1.713
Cl -1.537 4.362 5.773
Cl 2.268 2.372 5.772
Cl 2.268 -2.372 5.772
Cl 2.351 6.734 1.714
Cl 2.351 1.990 1.714
```

Results
total moment	0.0	μB/f.u.
crystal system	monoclinic
volume	36.8	Å³/atom

---

Model x:
VASP calculation (GGA-PBE) on a relaxed Tl2Pb3Cl8 crystal.

```
13
Lattice="-4.256 5.985 -0.599 -6.678 -4.220 3.307 -1.083 0.278 8.491" Properties=species:S:1:pos:R:3 pbc="T T T"
Tl -7.652 0.106 8.167
Tl -4.365 1.937 3.032
Pb -2.128 2.992 -0.300
Pb -5.249 -3.071 4.631
Pb -2.512 -0.871 7.167
Cl -6.724 3.613 4.123
Cl -5.293 -1.570 7.075
Cl -10.468 1.482 10.014
Cl -1.549 0.561 1.185
Cl -6.091 2.823 8.262
Cl -9.152 0.363 5.426
Cl -2.865 1.680 5.772
Cl -5.926 -0.780 2.936
```

Results
total moment	0.0	μB/f.u.
crystal system	monoclinic
volume	36.8	Å³/atom

---

Most stable one: model w, least stable one: model x.

---

Model w:
VASP calculation (GGA-PBE) on a relaxed TlPb3Cl crystal.

```
5
Lattice="-4.608 0.953 -3.645 -3.700 -2.233 4.093 -0.713 5.435 2.321" Properties=species:S:1:pos:R:3 pbc="T T T"
Pb -1.850 -1.116 2.047
Pb -0.356 2.717 1.160
Pb -2.304 0.476 -1.823
Tl 0.000 0.000 0.000
Cl -4.510 2.077 1.384
```

Results
total moment	0.0	μB/f.u.
crystal system	cubic
volume	42.2	Å³/atom

---

Model x:
VASP calculation (GGA-PBE) on a relaxed TlPb3Cl crystal.

```
5
Lattice="5.633 0.000 0.000 0.000 5.633 0.000 0.000 0.000 5.633" Properties=species:S:1:pos:R:3 pbc="T T T"
Pb 0.000 2.817 0.000
Pb 0.000 0.000 2.817
Pb 2.817 0.000 0.000
Tl 2.817 2.817 2.817
Cl 0.000 0.000 0.000
```

Results
total moment	0.0	μB/f.u.
crystal system	cubic
volume	35.8	Å³/atom

---

Most stable one: model x, least stable one: model w.

---

Model w:
VASP calculation (GGA-PBE) on a relaxed Tl3PbCl6 crystal.

```
20
Lattice="7.510 0.000 -0.017 0.000 7.984 0.000 0.078 0.000 10.927" Properties=species:S:1:pos:R:3 pbc="T T T"
Tl 4.004 7.402 8.192
Tl 3.755 3.992 -0.009
Tl 3.584 0.582 2.718
Tl 0.210 4.575 2.737
Tl 0.039 0.000 5.463
Tl 7.377 3.410 8.172
Pb 3.794 3.992 5.455
Pb 0.000 0.000 0.000
Cl 5.274 1.565 10.292
Cl 5.232 1.591 6.069
Cl 4.624 3.707 2.730
Cl 2.963 4.277 8.179
Cl 2.356 6.393 4.841
Cl 2.314 6.419 0.617
Cl 1.480 2.427 4.838
Cl 1.438 2.401 0.614
Cl 0.908 0.285 8.202
Cl 6.679 7.699 2.707
Cl 6.150 5.583 10.295
Cl 6.108 5.557 6.072
```

Results
total moment	0.0	μB/f.u.
crystal system	monoclinic
volume	32.8	Å³/atom

---

Model x:
VASP calculation (GGA-PBE) on a relaxed Tl3PbCl6 crystal.

```
10
Lattice="6.693 0.000 3.552 2.404 6.246 3.552 -0.134 -0.092 8.335" Properties=species:S:1:pos:R:3 pbc="T T T"
Tl 3.118 2.141 10.287
Tl 5.864 4.026 5.114
Tl 1.365 0.937 5.510
Pb 7.608 5.224 9.909
Cl 7.663 3.435 7.585
Cl 3.764 5.918 6.421
Cl 4.215 1.387 5.009
Cl 1.179 2.682 7.802
Cl 5.284 0.137 9.053
Cl 4.753 4.883 10.500
```

Results
total moment	0.0	μB/f.u.
crystal system	trigonal
volume	35.3	Å³/atom

---

Most stable one: model w, least stable one: model x.

---

Model w:
VASP calculation (GGA-PBE) on a relaxed Tl2PbCl2 crystal.

```
5
Lattice="-2.184 3.677 -0.158 -3.451 -2.110 -1.400 -5.384 -0.392 7.319" Properties=species:S:1:pos:R:3 pbc="T T T"
Pb 0.000 0.000 0.000
Tl -5.193 2.035 3.191
Tl -5.826 -0.859 2.570
Cl -3.293 0.566 0.721
Cl -7.726 0.610 5.040
```

Results
total moment	0.0	μB/f.u.
crystal system	tetragonal
volume	31.4	Å³/atom

---

Model x:
VASP calculation (GGA-PBE) on a relaxed Tl2PbCl2 crystal.

```
10
Lattice="-6.464 -4.482 -3.650 0.860 -6.160 6.042 -2.684 1.945 2.365" Properties=species:S:1:pos:R:3 pbc="T T T"
Pb 0.000 0.000 0.000
Pb -2.802 -5.321 1.196
Tl -1.796 -3.788 4.581
Tl -4.870 -7.164 3.870
Tl -6.491 -4.910 0.176
Tl -3.418 -1.534 0.888
Cl -1.527 -6.798 3.857
Cl -4.930 -7.815 0.832
Cl -4.077 -3.845 -1.464
Cl -0.674 -2.827 1.561
```

Results
total moment	0.0	μB/f.u.
crystal system	tetragonal
volume	30.6	Å³/atom

---

Most stable one: model x, least stable one: model w.